Record 1
## Pm12AlPb6 (PBE-GGA)

Data for Pm12AlPb6 after structural relaxation.

Unit cell a=9.016 b=9.016 c=9.016 alpha=99.86 beta=99.86 gamma=99.86
Fractional coordinates of all 19 atoms:
Pm 0.033 0.942 0.675
Pm 0.058 0.325 0.967
Pm 0.195 0.557 0.419
Pm 0.325 0.967 0.058
Pm 0.419 0.195 0.557
Pm 0.443 0.581 0.805
Pm 0.557 0.419 0.195
Pm 0.581 0.805 0.443
Pm 0.675 0.033 0.942
Pm 0.805 0.443 0.581
Pm 0.942 0.675 0.033
Pm 0.967 0.058 0.325
Al 0.000 0.000 0.000
Pb 0.122 0.314 0.629
Pb 0.314 0.629 0.122
Pb 0.371 0.878 0.686
Pb 0.629 0.122 0.314
Pb 0.686 0.371 0.878
Pb 0.878 0.686 0.371

Properties
As for the total magnetization: 0.00 μB/cell. For the formation enthalpy at 0 K, the calculation gives -3.894 eV/f.u. As for the density of states at the Fermi level: 21.04 states/eV per cell. As for the total energy: -4.57 eV/atom. The crystal system is trigonal.

=====

Record 2
## Pm5AlPb6 (PBE-GGA)

Data for Pm5AlPb6 after structural relaxation.

Unit cell a=7.263 b=7.263 c=7.027 alpha=95.92 beta=95.92 gamma=94.09
Fractional coordinates of all 12 atoms:
Pm 0.000 0.000 0.000
Pm 0.191 0.809 0.500
Pm 0.342 0.658 0.000
Pm 0.658 0.342 0.000
Pm 0.809 0.191 0.500
Al 0.500 0.500 0.500
Pb 0.088 0.411 0.243
Pb 0.255 0.255 0.703
Pb 0.411 0.088 0.243
Pb 0.589 0.912 0.757
Pb 0.745 0.745 0.297
Pb 0.912 0.589 0.757

Properties
As for the total magnetization: 0.00 μB/cell. For the formation enthalpy at 0 K, the calculation gives -3.319 eV/f.u. As for the density of states at the Fermi level: 7.82 states/eV per cell. As for the total energy: -4.42 eV/atom. The crystal system is monoclinic.

=====

Record 3
## Pm6AlPb3 (PBE-GGA)

Data for Pm6AlPb3 after structural relaxation.

Unit cell a=11.205 b=4.614 c=13.671 alpha=90.00 beta=112.69 gamma=90.00
Fractional coordinates of all 20 atoms:
Pm 0.025 0.250 0.358
Pm 0.072 0.250 0.898
Pm 0.256 0.750 0.339
Pm 0.345 0.750 0.118
Pm 0.345 0.750 0.787
Pm 0.400 0.250 0.562
Pm 0.600 0.750 0.438
Pm 0.655 0.250 0.213
Pm 0.655 0.250 0.882
Pm 0.744 0.250 0.661
Pm 0.928 0.750 0.102
Pm 0.975 0.750 0.642
Al 0.428 0.250 0.303
Al 0.572 0.750 0.697
Pb 0.141 0.250 0.152
Pb 0.181 0.750 0.537
Pb 0.385 0.250 0.960
Pb 0.615 0.750 0.040
Pb 0.819 0.250 0.463
Pb 0.859 0.750 0.848

Properties
As for the total magnetization: 0.02 μB/cell. For the formation enthalpy at 0 K, the calculation gives -3.337 eV/f.u. As for the density of states at the Fermi level: 18.66 states/eV per cell. As for the total energy: -4.67 eV/atom. The crystal system is monoclinic.

=====

Record 4
## Pm6AlPb2 (PBE-GGA)

Data for Pm6AlPb2 after structural relaxation.

Unit cell a=8.542 b=8.542 c=4.511 alpha=90.00 beta=90.00 gamma=120.00
Fractional coordinates of all 9 atoms:
Pm 0.000 0.405 0.000
Pm 0.000 0.750 0.500
Pm 0.250 0.250 0.500
Pm 0.405 0.000 0.000
Pm 0.595 0.595 0.000
Pm 0.750 0.000 0.500
Al 0.000 0.000 0.000
Pb 0.333 0.667 0.500
Pb 0.667 0.333 0.500

Properties
As for the total magnetization: 4.83 μB/cell. For the formation enthalpy at 0 K, the calculation gives -3.332 eV/f.u. As for the density of states at the Fermi level: 8.37 states/eV per cell. As for the total energy: -4.78 eV/atom. The crystal system is hexagonal.

=====

Record 5
## PmAlPb2 (PBE-GGA)

Data for PmAlPb2 after structural relaxation.

Unit cell a=4.742 b=4.742 c=4.774 alpha=90.00 beta=90.00 gamma=90.00
Fractional coordinates of all 4 atoms:
Pm 0.000 0.000 0.000
Al 0.500 0.500 0.000
Pb 0.000 0.500 0.500
Pb 0.500 0.000 0.500

Properties
As for the total magnetization: 0.00 μB/cell. For the formation enthalpy at 0 K, the calculation gives -1.118 eV/f.u. As for the density of states at the Fermi level: 1.33 states/eV per cell. As for the total energy: -4.26 eV/atom. The crystal system is tetragonal.

=====

Record 6
## Pm4AlPb2 (PBE-GGA)

Data for Pm4AlPb2 after structural relaxation.

Unit cell a=11.147 b=11.147 c=11.147 alpha=26.10 beta=26.10 gamma=26.10
Fractional coordinates of all 7 atoms:
Pm 0.125 0.125 0.125
Pm 0.297 0.297 0.297
Pm 0.703 0.703 0.703
Pm 0.875 0.875 0.875
Al 0.500 0.500 0.500
Pb 0.405 0.405 0.405
Pb 0.595 0.595 0.595

Properties
As for the total magnetization: 0.00 μB/cell. For the formation enthalpy at 0 K, the calculation gives -1.767 eV/f.u. As for the density of states at the Fermi level: 7.73 states/eV per cell. As for the total energy: -4.56 eV/atom. For the energy relative to the lowest polymorph listed for this composition, the calculation gives 0.0 meV per atom. The crystal system is trigonal.

=====

Record 7
## Pm4AlPb3 (PBE-GGA)

Data for Pm4AlPb3 after structural relaxation.

Unit cell a=4.406 b=4.666 c=11.769 alpha=90.00 beta=90.00 gamma=90.00
Fractional coordinates of all 8 atoms:
Pm 0.000 0.000 0.000
Pm 0.000 0.500 0.486
Pm 0.500 0.000 0.721
Pm 0.500 0.500 0.222
Al 0.000 0.000 0.273
Pb 0.000 0.500 0.759
Pb 0.500 0.000 0.438
Pb 0.500 0.500 0.951

Properties
As for the total magnetization: 0.00 μB/cell. For the formation enthalpy at 0 K, the calculation gives -4.100 eV/f.u. As for the density of states at the Fermi level: 6.15 states/eV per cell. As for the total energy: -4.75 eV/atom. The crystal system is orthorhombic.

=====

Record 8
## Pm2AlPb (PBE-GGA)

Data for Pm2AlPb after structural relaxation.

Unit cell a=10.170 b=10.170 c=10.170 alpha=20.99 beta=20.99 gamma=20.99
Fractional coordinates of all 4 atoms:
Pm 0.242 0.242 0.242
Pm 0.758 0.758 0.758
Al 0.500 0.500 0.500
Pb 0.000 0.000 0.000

Properties
As for the total magnetization: 0.00 μB/cell. For the formation enthalpy at 0 K, the calculation gives -1.037 eV/f.u. As for the density of states at the Fermi level: 3.65 states/eV per cell. As for the total energy: -4.50 eV/atom. The crystal system is trigonal.

=====

Record 9
## Pm8AlPb2 (PBE-GGA)

Data for Pm8AlPb2 after structural relaxation.

Unit cell a=10.201 b=10.201 c=6.914 alpha=104.48 beta=104.48 gamma=30.06
Fractional coordinates of all 11 atoms:
Pm 0.013 0.013 0.273
Pm 0.213 0.213 0.821
Pm 0.345 0.345 0.498
Pm 0.410 0.410 0.027
Pm 0.590 0.590 0.973
Pm 0.655 0.655 0.502
Pm 0.787 0.787 0.179
Pm 0.987 0.987 0.727
Al 0.500 0.500 0.500
Pb 0.178 0.178 0.256
Pb 0.822 0.822 0.744

Properties
As for the total magnetization: 0.00 μB/cell. For the formation enthalpy at 0 K, the calculation gives -2.666 eV/f.u. As for the density of states at the Fermi level: 11.80 states/eV per cell. As for the total energy: -4.71 eV/atom. The crystal system is monoclinic.

=====

Record 10
## PmPuAlPb (PBE-GGA)

Data for PmPuAlPb after structural relaxation.

Unit cell a=5.356 b=5.356 c=5.356 alpha=60.00 beta=60.00 gamma=60.00
Fractional coordinates of all 4 atoms:
Pm 0.000 0.000 0.000
Pu 0.500 0.500 0.500
Al 0.750 0.750 0.750
Pb 0.250 0.250 0.250

Properties
As for the total magnetization: 5.89 μB/cell. For the formation enthalpy at 0 K, the calculation gives -0.714 eV/f.u. As for the density of states at the Fermi level: 10.63 states/eV per cell. As for the total energy: -6.81 eV/atom. The crystal system is cubic.

=====

Record 11
## PmScAlPb (PBE-GGA)

Data for PmScAlPb after structural relaxation.

Unit cell a=5.227 b=5.227 c=5.227 alpha=60.00 beta=60.00 gamma=60.00
Fractional coordinates of all 4 atoms:
Pm 0.000 0.000 0.000
Sc 0.500 0.500 0.500
Al 0.750 0.750 0.750
Pb 0.250 0.250 0.250

Properties
As for the total magnetization: 0.00 μB/cell. For the formation enthalpy at 0 K, the calculation gives -1.141 eV/f.u. As for the density of states at the Fermi level: 3.80 states/eV per cell. As for the total energy: -4.92 eV/atom. The crystal system is cubic.

=====

Record 12
## PmSmAlPb (PBE-GGA)

Data for PmSmAlPb after structural relaxation.

Unit cell a=5.405 b=5.405 c=5.405 alpha=60.00 beta=60.00 gamma=60.00
Fractional coordinates of all 4 atoms:
Pm 0.000 0.000 0.000
Sm 0.500 0.500 0.500
Al 0.250 0.250 0.250
Pb 0.750 0.750 0.750

Properties
As for the total magnetization: 0.00 μB/cell. For the formation enthalpy at 0 K, the calculation gives -1.413 eV/f.u. As for the density of states at the Fermi level: 2.79 states/eV per cell. As for the total energy: -4.58 eV/atom. The crystal system is cubic.

=====

Record 13
## TbPmAlPb (PBE-GGA)

Data for TbPmAlPb after structural relaxation.

Unit cell a=5.366 b=5.366 c=5.366 alpha=60.00 beta=60.00 gamma=60.00
Fractional coordinates of all 4 atoms:
Tb 0.000 0.000 0.000
Pm 0.500 0.500 0.500
Al 0.750 0.750 0.750
Pb 0.250 0.250 0.250

Properties
As for the total magnetization: 0.00 μB/cell. For the formation enthalpy at 0 K, the calculation gives -1.377 eV/f.u. As for the density of states at the Fermi level: 2.82 states/eV per cell. As for the total energy: -4.55 eV/atom. The crystal system is cubic.

=====

Record 14
## PmTmAlPb (PBE-GGA)

Data for PmTmAlPb after structural relaxation.

Unit cell a=5.329 b=5.329 c=5.329 alpha=60.00 beta=60.00 gamma=60.00
Fractional coordinates of all 4 atoms:
Pm 0.000 0.000 0.000
Tm 0.500 0.500 0.500
Al 0.250 0.250 0.250
Pb 0.750 0.750 0.750

Properties
As for the total magnetization: 0.00 μB/cell. For the formation enthalpy at 0 K, the calculation gives -1.261 eV/f.u. As for the density of states at the Fermi level: 3.40 states/eV per cell. As for the total energy: -4.48 eV/atom. The crystal system is cubic.

=====

Record 15
## PmYAlPb (PBE-GGA)

Data for PmYAlPb after structural relaxation.

Unit cell a=5.361 b=5.361 c=5.361 alpha=60.00 beta=60.00 gamma=60.00
Fractional coordinates of all 4 atoms:
Pm 0.000 0.000 0.000
Y 0.500 0.500 0.500
Al 0.750 0.750 0.750
Pb 0.250 0.250 0.250

Properties
As for the total magnetization: 0.00 μB/cell. For the formation enthalpy at 0 K, the calculation gives -1.411 eV/f.u. As for the density of states at the Fermi level: 2.88 states/eV per cell. As for the total energy: -5.02 eV/atom. The crystal system is cubic.

=====

Record 16
## Pr12AlPb3 (PBE-GGA)

Data for Pr12AlPb3 after structural relaxation.

Unit cell a=5.014 b=5.014 c=20.046 alpha=90.00 beta=90.00 gamma=90.00
Fractional coordinates of all 16 atoms:
Pr 0.000 0.000 0.000
Pr 0.000 0.000 0.248
Pr 0.000 0.000 0.500
Pr 0.000 0.000 0.752
Pr 0.000 0.500 0.121
Pr 0.000 0.500 0.374
Pr 0.000 0.500 0.626
Pr 0.000 0.500 0.879
Pr 0.500 0.000 0.121
Pr 0.500 0.000 0.374
Pr 0.500 0.000 0.626
Pr 0.500 0.000 0.879
Al 0.500 0.500 0.000
Pb 0.500 0.500 0.247
Pb 0.500 0.500 0.500
Pb 0.500 0.500 0.753

Properties
As for the total magnetization: 0.00 μB/cell. For the formation enthalpy at 0 K, the calculation gives -4.813 eV/f.u. As for the density of states at the Fermi level: 19.48 states/eV per cell. As for the total energy: -4.81 eV/atom. The crystal system is tetragonal.

=====

Record 17
## Pr6AlPb2 (PBE-GGA)

Data for Pr6AlPb2 after structural relaxation.

Unit cell a=8.652 b=8.652 c=4.580 alpha=90.00 beta=90.00 gamma=120.00
Fractional coordinates of all 9 atoms:
Pr 0.000 0.250 0.000
Pr 0.000 0.592 0.500
Pr 0.250 0.000 0.000
Pr 0.408 0.408 0.500
Pr 0.592 0.000 0.500
Pr 0.750 0.750 0.000
Al 0.000 0.000 0.500
Pb 0.333 0.667 0.000
Pb 0.667 0.333 0.000

Properties
As for the total magnetization: 4.47 μB/cell. For the formation enthalpy at 0 K, the calculation gives -3.325 eV/f.u. As for the density of states at the Fermi level: 9.46 states/eV per cell. As for the total energy: -4.80 eV/atom. The crystal system is hexagonal.

=====

Record 18
## Pr7Al2Pb2 (PBE-GGA)

Data for Pr7Al2Pb2 after structural relaxation.

Unit cell a=7.025 b=7.025 c=8.005 alpha=90.00 beta=90.00 gamma=109.48
Fractional coordinates of all 11 atoms:
Pr 0.000 0.000 0.000
Pr 0.000 0.500 0.300
Pr 0.000 0.500 0.700
Pr 0.500 0.000 0.300
Pr 0.500 0.000 0.700
Pr 0.500 0.500 0.280
Pr 0.500 0.500 0.720
Al 0.162 0.162 0.500
Al 0.838 0.838 0.500
Pb 0.295 0.705 0.000
Pb 0.705 0.295 0.000

Properties
As for the total magnetization: 0.00 μB/cell. For the formation enthalpy at 0 K, the calculation gives -1.129 eV/f.u. As for the density of states at the Fermi level: 12.92 states/eV per cell. As for the total energy: -4.50 eV/atom. The crystal system is orthorhombic.

=====

Record 19
## PrAl2Pb (PBE-GGA)

Data for PrAl2Pb after structural relaxation.

Unit cell a=4.624 b=4.624 c=4.545 alpha=90.00 beta=90.00 gamma=90.00
Fractional coordinates of all 4 atoms:
Pr 0.000 0.000 0.000
Al 0.000 0.500 0.500
Al 0.500 0.000 0.500
Pb 0.500 0.500 0.000

Properties
As for the total magnetization: 0.00 μB/cell. For the formation enthalpy at 0 K, the calculation gives -1.098 eV/f.u. As for the density of states at the Fermi level: 1.45 states/eV per cell. As for the total energy: -4.27 eV/atom. The crystal system is tetragonal.

=====

Record 20
## PrAlPb (PBE-GGA)

Data for PrAlPb after structural relaxation.

Unit cell a=4.601 b=4.601 c=4.522 alpha=90.00 beta=90.00 gamma=120.00
Fractional coordinates of all 3 atoms:
Pr 0.000 0.000 0.000
Al 0.667 0.333 0.373
Pb 0.333 0.667 0.564

Properties
As for the total magnetization: 0.00 μB/cell. For the formation enthalpy at 0 K, the calculation gives -1.091 eV/f.u. As for the density of states at the Fermi level: 0.49 states/eV per cell. As for the total energy: -4.44 eV/atom. The crystal system is trigonal.

=====

Record 21
## Pr8AlPb2 (PBE-GGA)

Data for Pr8AlPb2 after structural relaxation.

Unit cell a=10.315 b=10.315 c=7.026 alpha=105.29 beta=105.29 gamma=30.28
Fractional coordinates of all 11 atoms:
Pr 0.010 0.010 0.273
Pr 0.213 0.213 0.818
Pr 0.345 0.345 0.501
Pr 0.410 0.410 0.027
Pr 0.590 0.590 0.973
Pr 0.655 0.655 0.499
Pr 0.787 0.787 0.182
Pr 0.990 0.990 0.727
Al 0.500 0.500 0.500
Pb 0.176 0.176 0.251
Pb 0.824 0.824 0.749

Properties
As for the total magnetization: 0.01 μB/cell. For the formation enthalpy at 0 K, the calculation gives -2.720 eV/f.u. As for the density of states at the Fermi level: 12.51 states/eV per cell. As for the total energy: -4.74 eV/atom. The crystal system is monoclinic.

=====

Record 22
## Pr8Al2Pb (PBE-GGA)

Data for Pr8Al2Pb after structural relaxation.

Unit cell a=9.227 b=9.227 c=8.208 alpha=109.81 beta=109.81 gamma=31.83
Fractional coordinates of all 11 atoms:
Pr 0.048 0.048 0.237
Pr 0.165 0.165 0.744
Pr 0.324 0.324 0.566
Pr 0.396 0.396 0.045
Pr 0.604 0.604 0.955
Pr 0.676 0.676 0.434
Pr 0.835 0.835 0.256
Pr 0.952 0.952 0.763
Al 0.215 0.215 0.167
Al 0.785 0.785 0.833
Pb 0.500 0.500 0.500

Properties
As for the total magnetization: 0.00 μB/cell. For the formation enthalpy at 0 K, the calculation gives -2.401 eV/f.u. As for the density of states at the Fermi level: 13.21 states/eV per cell. As for the total energy: -4.71 eV/atom. The crystal system is monoclinic.

=====

Record 23
## Pr3AlPb2 (PBE-GGA)

Data for Pr3AlPb2 after structural relaxation.

Unit cell a=12.921 b=4.600 c=12.515 alpha=90.00 beta=90.00 gamma=90.00
Fractional coordinates of all 24 atoms:
Pr 0.055 0.250 0.120
Pr 0.123 0.750 0.557
Pr 0.219 0.250 0.793
Pr 0.281 0.750 0.293
Pr 0.377 0.250 0.057
Pr 0.445 0.750 0.620
Pr 0.555 0.250 0.380
Pr 0.623 0.750 0.943
Pr 0.719 0.250 0.707
Pr 0.781 0.750 0.207
Pr 0.877 0.250 0.443
Pr 0.945 0.750 0.880
Al 0.130 0.250 0.369
Al 0.370 0.750 0.869
Al 0.630 0.250 0.131
Al 0.870 0.750 0.631
Pb 0.011 0.750 0.308
Pb 0.189 0.750 0.999
Pb 0.311 0.250 0.499
Pb 0.489 0.250 0.808
Pb 0.511 0.750 0.192
Pb 0.689 0.750 0.501
Pb 0.811 0.250 0.001
Pb 0.989 0.250 0.692

Properties
As for the total magnetization: 0.00 μB/cell. For the formation enthalpy at 0 K, the calculation gives -2.913 eV/f.u. As for the density of states at the Fermi level: 18.78 states/eV per cell. As for the total energy: -4.74 eV/atom. The crystal system is orthorhombic.